Ac2PrSn3Pt4: relaxed, PBE.

Cell and atoms, written as CIF:
```
data_Ac2PrSn3Pt4
_symmetry_space_group_name_H-M 'P 1'
_symmetry_Int_Tables_number 1
_cell_length_a 4.738
_cell_length_b 4.738
_cell_length_c 11.264
_cell_angle_alpha 90.00
_cell_angle_beta 90.00
_cell_angle_gamma 90.00
loop_
_symmetry_equiv_pos_as_xyz
'x,y,z'
loop_
_atom_site_label
_atom_site_type_symbol
_atom_site_fract_x
_atom_site_fract_y
_atom_site_fract_z
_atom_site_occupancy
Ac1 Ac 0.500 0.000 0.223 1
Ac2 Ac 0.000 0.500 0.777 1
Pr1 Pr 0.500 0.500 0.500 1
Sn1 Sn 0.000 0.000 0.500 1
Sn2 Sn 0.500 0.000 0.882 1
Sn3 Sn 0.000 0.500 0.118 1
Pt1 Pt 0.500 0.500 0.000 1
Pt2 Pt 0.000 0.000 0.000 1
Pt3 Pt 0.500 0.000 0.648 1
Pt4 Pt 0.000 0.500 0.352 1
```

Computed properties:
* N(E_F): 0.65 states/eV/atom
* energy relative to the elements: -0.923 eV/atom
* uncorrected energy: -58.396 eV per cell